Record 1
# Rb2PaAs3O12 PBE-GGA relaxed
data_Rb2PaAs3O12
_space_group_name_H-M_alt 'R -3 m'
_space_group_IT_number 166
_space_group_name_Hall '-R 3 2"'
_cell_length_a 6.9692
_cell_length_b 6.9692
_cell_length_c 18.7061
_cell_angle_alpha 90.00
_cell_angle_beta 90.00
_cell_angle_gamma 120.00
loop_
_atom_site_label
_atom_site_type_symbol
_atom_site_fract_x
_atom_site_fract_y
_atom_site_fract_z
Rb1 Rb 0.0000 0.0000 0.1122
Pa1 Pa 0.0000 0.0000 0.5000
As1 As 0.0000 0.5000 0.0000
O1 O 0.0508 0.5254 0.0968
O2 O 0.0671 0.5336 0.3502
# Fermi-level density of states	24.35	states/eV/cell
# energy relative to the elements, uncorrected	-1.614	eV per atom



Record 2
# Rb2PaAs2O6 PBE-GGA relaxed
data_Rb2PaAs2O6
_space_group_name_H-M_alt 'C 1 2/m 1'
_space_group_IT_number 12
_space_group_name_Hall '-C 2y'
_cell_length_a 10.041
_cell_length_b 6.825
_cell_length_c 6.809
_cell_angle_alpha 90.00
_cell_angle_beta 115.24
_cell_angle_gamma 90.00
loop_
_atom_site_label
_atom_site_type_symbol
_atom_site_fract_x
_atom_site_fract_y
_atom_site_fract_z
Rb1 Rb 0.208 0.000 0.136
Pa1 Pa 0.000 0.000 0.500
As1 As 0.058 0.500 0.231
O1 O 0.033 0.216 0.298
O2 O 0.246 0.500 0.278
# Fermi-level density of states	5.01	states/eV/cell
# energy relative to the elements, uncorrected	-1.951	eV per atom



Record 3
# RbPaAsO6 PBE-GGA relaxed
data_RbPaAsO6
_space_group_name_H-M_alt 'I m m a'
_space_group_IT_number 74
_space_group_name_Hall '-I 2b 2'
_cell_length_a 7.174
_cell_length_b 7.955
_cell_length_c 10.510
_cell_angle_alpha 90.00
_cell_angle_beta 90.00
_cell_angle_gamma 90.00
loop_
_atom_site_label
_atom_site_type_symbol
_atom_site_fract_x
_atom_site_fract_y
_atom_site_fract_z
Rb1 Rb 0.000 0.250 0.095
Pa1 Pa 0.000 0.000 0.500
As1 As 0.250 0.250 0.750
O1 O 0.000 0.250 0.419
O2 O 0.000 0.250 0.806
O3 O 0.212 0.086 0.630
# Fermi-level density of states	24.45	states/eV/cell
# energy relative to the elements, uncorrected	-2.097	eV per atom